Here is a relaxed structure of Li2LaEr from Alexandria via LeMat-Bulk. Energies are from GGA-PBE. Values from VASP.

Its total energy is -12.68 eV per cell. The value obtained for the total moment is 0.490 μB/cell. The calculation puts the density of states at the Fermi level at 5.9 states/eV/cell. As for the symmetry: No. 225.

Geometry as Quantum ESPRESSO input:
```
&SYSTEM
  ibrav = 0, nat = 4, ntyp = 3
/
ATOMIC_SPECIES
Er 167.26 Er.upf
La 138.91 La.upf
Li 6.94 Li.upf
CELL_PARAMETERS angstrom
-3.955 1.015 3.475
-5.033 -1.428 -1.175
-2.333 -4.030 2.658
ATOMIC_POSITIONS crystal
Er 0.000 0.000 0.000
La 0.500 0.500 0.500
Li 0.250 0.250 0.250
Li 0.750 0.750 0.750
```